[1]
First-principles (PBE) data for a relaxed structure of YTc2Se, as listed in Alexandria.

The structure belongs to space group P4/mmm (No. 123); the cell edges are 3.8044, 3.8044 and 5.0658 Å and the angles 90.00°, 90.00° and 90.00°. Symmetry generates all atoms from Y at (0.0000, 0.0000, 0.0000), Tc at (0.0000, 0.5000, 0.5000) and Se at (0.5000, 0.5000, 0.0000).

As for the density: 8.241 g cm⁻³. The value obtained for the spin magnetization is 0.00 μB/atom. The calculation puts the energy relative to the elements, uncorrected at 3 meV per atom.



[2]
First-principles (PBE) data for a relaxed structure of Y2TcSe, as listed in Alexandria.

The structure belongs to space group F-43m (No. 216); the cell edges are 6.9149, 6.9149 and 6.9149 Å and the angles 90.00°, 90.00° and 90.00°. Symmetry generates all atoms from Y at (0.0000, 0.0000, 0.0000), Y at (0.2500, 0.2500, 0.2500), Tc at (0.2500, 0.2500, 0.7500) and Se at (0.0000, 0.0000, 0.5000).

As for the density: 7.127 g cm⁻³. The value obtained for the spin magnetization is 0.00 μB/atom. The calculation puts the energy relative to the elements, uncorrected at 18 meV per atom.



[3]
First-principles (PBE) data for a relaxed structure of YTc2Se, as listed in Alexandria.

The structure belongs to space group P4/mmm (No. 123); the cell edges are 3.2200, 3.2200 and 6.8489 Å and the angles 90.00°, 90.00° and 90.00°. Symmetry generates all atoms from Y at (0.0000, 0.0000, 0.0000), Tc at (0.5000, 0.5000, 0.2902) and Se at (0.0000, 0.0000, 0.5000).

As for the density: 8.508 g cm⁻³. The value obtained for the spin magnetization is 0.00 μB/atom. The calculation puts the energy relative to the elements, uncorrected at 221 meV per atom.



[4]
First-principles (PBE) data for a relaxed structure of Y2TcSe, as listed in Alexandria.

The structure belongs to space group Imm2 (No. 44); the cell edges are 3.4547, 4.5490 and 11.5161 Å and the angles 90.00°, 90.00° and 90.00°. Symmetry generates all atoms from Y at (0.0000, 0.0000, 0.0000), Y at (0.0000, 0.5000, 0.2316), Tc at (0.0000, 0.0000, 0.4874) and Se at (0.0000, 0.5000, 0.8193).

As for the density: 6.510 g cm⁻³. The value obtained for the spin magnetization is 0.00 μB/atom. The calculation puts the energy relative to the elements, uncorrected at -516 meV per atom.



[5]
First-principles (PBE) data for a relaxed structure of YTcSe, as listed in Alexandria.

The structure belongs to space group P-6m2 (No. 187); the cell edges are 4.3573, 4.3573 and 3.6273 Å and the angles 90.00°, 90.00° and 120.00°. Symmetry generates all atoms from Y at (0.0000, 0.0000, 0.0000), Tc at (0.6667, 0.3333, 0.5000) and Se at (0.3333, 0.6667, 0.5000).

As for the density: 7.402 g cm⁻³. The value obtained for the offset from the most stable computed form is 0.000 kcal/mol of atoms. The value obtained for the spin magnetization is 0.00 μB/atom. The calculation puts the energy relative to the elements, uncorrected at -466 meV per atom.



[6]
First-principles (PBE) data for a relaxed structure of YTc2Se, as listed in Alexandria.

The structure belongs to space group P2/m (No. 10); the cell edges are 3.4944, 4.9591 and 4.4414 Å and the angles 90.00°, 91.75° and 90.00°. Symmetry generates all atoms from Y at (0.0000, 0.0000, 0.0000), Tc at (0.3459, 0.5000, 0.7510) and Se at (0.5000, 0.0000, 0.5000).

As for the density: 7.854 g cm⁻³. The value obtained for the spin magnetization is 0.00 μB/atom. The calculation puts the energy relative to the elements, uncorrected at -25 meV per atom.



[7]
First-principles (PBE) data for a relaxed structure of Y2TcSe, as listed in Alexandria.

The structure belongs to space group R3m (No. 160, hexagonal axes); the cell edges are 4.3424, 4.3424 and 18.3750 Å and the angles 90.00°, 90.00° and 120.00°. Symmetry generates all atoms from Y at (0.0000, 0.0000, 0.0000), Y at (0.0000, 0.0000, 0.1812), Tc at (0.0000, 0.0000, 0.4172) and Se at (0.0000, 0.0000, 0.7656).

As for the density: 5.890 g cm⁻³. The value obtained for the spin magnetization is 0.00 μB/atom. The calculation puts the energy relative to the elements, uncorrected at -347 meV per atom.



[8]
First-principles (PBE) data for a relaxed structure of YTc2Se, as listed in Alexandria.

The structure belongs to space group Fmmm (No. 69); the cell edges are 5.3533, 5.3861 and 10.7003 Å and the angles 90.00°, 90.00° and 90.00°. Symmetry generates all atoms from Y at (0.0000, 0.0000, 0.0000), Tc at (0.2500, 0.0000, 0.2500) and Se at (0.0000, 0.0000, 0.5000).

As for the density: 7.834 g cm⁻³. The value obtained for the spin magnetization is 0.00 μB/atom. The calculation puts the energy relative to the elements, uncorrected at 67 meV per atom.